Entry 1:
{
  "formula": "O",
  "functional": "GGA-PBEsol",
  "state": "optimized geometry",
  "crystal_system": "trigonal",
  "rho_g_cm3": 2.005,
  "de_polymorph_mev_per_atom": 428.8,
  "m_tot_mub_per_fu": 0.000,
  "lattice_angstrom": [[-2.015, -1.342, 1.893], [-0.638, -2.756, -2.633], [2.785, -0.458, 2.640]],
  "species": ["O", "O", "O"],
  "fractional_positions": [[0.167, 0.149, 0.149], [0.833, 0.000, 0.851], [0.500, 0.851, 0.000]]
}

---

Entry 2:
{
  "formula": "POs2O",
  "functional": "GGA-PBEsol",
  "state": "optimized geometry",
  "crystal_system": "cubic",
  "rho_g_cm3": 15.579,
  "e_tot_ev_per_atom": -8.656,
  "m_tot_mub_per_fu": 0.000,
  "lattice_angstrom": [[-0.416, 2.751, -2.886], [-3.004, -0.301, -2.638], [-3.051, 2.597, 0.132]],
  "species": ["P", "Os", "Os", "O"],
  "fractional_positions": [[0.500, 0.500, 0.500], [0.750, 0.750, 0.750], [0.250, 0.250, 0.250], [0.000, 0.000, 0.000]]
}

---

Entry 3:
{
  "formula": "RbPOsO2",
  "functional": "GGA-PBEsol",
  "state": "optimized geometry",
  "crystal_system": "tetragonal",
  "rho_g_cm3": 7.490,
  "e_tot_ev_per_atom": -6.226,
  "m_tot_mub_per_fu": 0.000,
  "lattice_angstrom": [[4.038, 0.000, 0.000], [0.000, 4.038, 0.000], [0.000, 0.000, 4.605]],
  "species": ["Os", "O", "O", "Rb", "P"],
  "fractional_positions": [[0.000, 0.000, 0.000], [0.000, 0.500, 0.000], [0.500, 0.000, 0.000], [0.500, 0.500, 0.500], [0.000, 0.000, 0.500]]
}

---

Entry 4:
{
  "formula": "P2OsSO",
  "functional": "GGA-PBEsol",
  "state": "optimized geometry",
  "crystal_system": "tetragonal",
  "rho_g_cm3": 5.486,
  "e_tot_ev_per_atom": -5.625,
  "m_tot_mub_per_fu": 0.003,
  "lattice_angstrom": [[-3.220, -1.950, 2.254], [3.089, -2.033, 2.653], [-0.135, 3.533, 2.865]],
  "species": ["O", "P", "P", "Os", "S"],
  "fractional_positions": [[0.500, 0.500, 0.500], [0.000, 0.500, 0.000], [0.000, 0.000, 0.500], [0.000, 0.000, 0.000], [0.500, 0.000, 0.000]]
}

---

Entry 5:
{
  "formula": "POsSeO2",
  "functional": "GGA-PBEsol",
  "state": "optimized geometry",
  "crystal_system": "tetragonal",
  "rho_g_cm3": 7.794,
  "e_tot_ev_per_atom": -5.738,
  "m_tot_mub_per_fu": 2.098,
  "lattice_angstrom": [[-3.024, 1.751, 0.801], [-0.633, -2.313, 2.665], [2.793, 3.235, 3.472]],
  "species": ["Os", "O", "Se", "P", "O"],
  "fractional_positions": [[0.500, 0.500, 0.500], [0.000, 0.500, 0.000], [0.000, 0.000, 0.000], [0.000, 0.000, 0.500], [0.500, 0.000, 0.000]]
}

---

Entry 6:
{
  "formula": "P2OsSeO",
  "functional": "GGA-PBEsol",
  "state": "optimized geometry",
  "crystal_system": "tetragonal",
  "rho_g_cm3": 7.841,
  "e_tot_ev_per_atom": -5.551,
  "m_tot_mub_per_fu": 0.000,
  "lattice_angstrom": [[-1.438, -2.996, 0.847], [1.334, -1.787, -4.057], [3.986, -1.372, 1.915]],
  "species": ["Os", "P", "Se", "O", "P"],
  "fractional_positions": [[0.500, 0.500, 0.500], [0.000, 0.500, 0.000], [0.000, 0.000, 0.000], [0.500, 0.000, 0.000], [0.000, 0.000, 0.500]]
}

---

Entry 7:
{
  "formula": "TlPOsO2",
  "functional": "GGA-PBEsol",
  "state": "optimized geometry",
  "crystal_system": "tetragonal",
  "rho_g_cm3": 10.184,
  "e_tot_ev_per_atom": -6.623,
  "m_tot_mub_per_fu": 0.002,
  "lattice_angstrom": [[3.814, 0.000, 0.000], [0.000, 3.814, 0.000], [0.000, 0.000, 5.129]],
  "species": ["O", "Os", "Tl", "O", "P"],
  "fractional_positions": [[0.500, 0.000, 0.000], [0.000, 0.000, 0.000], [0.500, 0.500, 0.500], [0.000, 0.500, 0.000], [0.000, 0.000, 0.500]]
}

---

Entry 8:
{
  "formula": "OsPbO3",
  "functional": "GGA-PBEsol",
  "state": "optimized geometry",
  "crystal_system": "cubic",
  "rho_g_cm3": 10.851,
  "e_tot_ev_per_atom": -7.391,
  "m_tot_mub_per_fu": 0.001,
  "lattice_angstrom": [[7.279, 0.000, 0.000], [3.639, 6.303, 0.000], [3.639, 2.101, 5.943]],
  "species": ["O", "O", "O", "Os", "Pb", "Pb", "Os", "O", "Pb", "O", "Os", "O", "O", "O", "O", "O", "Pb", "O", "Os", "O"],
  "fractional_positions": [[0.555, 0.945, 0.555], [0.945, 0.945, 0.555], [0.695, 0.695, 0.305], [0.625, 0.625, 0.625], [0.125, 0.125, 0.625], [0.125, 0.625, 0.125], [0.125, 0.625, 0.625], [0.555, 0.555, 0.945], [0.625, 0.125, 0.125], [0.305, 0.695, 0.305], [0.625, 0.625, 0.125], [0.945, 0.555, 0.945], [0.695, 0.305, 0.695], [0.945, 0.555, 0.555], [0.555, 0.945, 0.945], [0.695, 0.305, 0.305], [0.125, 0.125, 0.125], [0.305, 0.305, 0.695], [0.625, 0.125, 0.625], [0.305, 0.695, 0.695]]
}

---

Entry 9:
{
  "formula": "OsPb3O",
  "functional": "GGA-PBEsol",
  "state": "optimized geometry",
  "crystal_system": "cubic",
  "rho_g_cm3": 10.178,
  "e_tot_ev_per_atom": -5.306,
  "m_tot_mub_per_fu": 0.001,
  "lattice_angstrom": [[5.131, 0.000, 0.000], [0.000, 5.131, 0.000], [0.000, 0.000, 5.131]],
  "species": ["Pb", "Pb", "O", "Pb", "Os"],
  "fractional_positions": [[0.500, 0.000, 0.000], [0.000, 0.000, 0.500], [0.500, 0.500, 0.500], [0.000, 0.500, 0.000], [0.000, 0.000, 0.000]]
}

---

Entry 10:
{
  "formula": "OsPdO2",
  "functional": "GGA-PBEsol",
  "state": "optimized geometry",
  "crystal_system": "trigonal",
  "rho_g_cm3": 12.029,
  "e_tot_ev_per_atom": -7.507,
  "m_tot_mub_per_fu": 0.000,
  "lattice_angstrom": [[2.796, 0.000, 0.000], [1.398, 2.421, 0.000], [1.398, 0.807, 6.703]],
  "species": ["O", "Os", "O", "Pd"],
  "fractional_positions": [[0.899, 0.899, 0.304], [0.500, 0.500, 0.500], [0.101, 0.101, 0.696], [0.000, 0.000, 0.000]]
}

---

Entry 11:
{
  "formula": "TiOs2PdO",
  "functional": "GGA-PBEsol",
  "state": "optimized geometry",
  "crystal_system": "tetragonal",
  "rho_g_cm3": 11.727,
  "e_tot_ev_per_atom": -7.828,
  "m_tot_mub_per_fu": 0.005,
  "lattice_angstrom": [[-2.455, -2.006, -1.621], [3.286, -1.710, -2.860], [0.833, -3.468, 3.030]],
  "species": ["Os", "Pd", "O", "Ti", "Os"],
  "fractional_positions": [[0.000, 0.000, 0.500], [0.500, 0.500, 0.500], [0.500, 0.000, 0.000], [0.000, 0.000, 0.000], [0.000, 0.500, 0.000]]
}

---

Entry 12:
{
  "formula": "RbOs2O6",
  "functional": "GGA-PBEsol",
  "state": "optimized geometry",
  "crystal_system": "cubic",
  "rho_g_cm3": 7.155,
  "e_tot_ev_per_atom": -7.522,
  "m_tot_mub_per_fu": 0.000,
  "lattice_angstrom": [[-4.071, 1.996, 5.556], [-5.757, -3.878, 1.802], [0.029, -3.868, 6.039]],
  "species": ["Rb", "O", "O", "Os", "O", "Os", "O", "Os", "Os", "O", "O", "O", "O", "O", "O", "O", "O", "Rb"],
  "fractional_positions": [[0.750, 0.750, 0.750], [0.190, 0.810, 0.190], [0.060, 0.060, 0.440], [0.125, 0.625, 0.125], [0.060, 0.440, 0.440], [0.125, 0.125, 0.625], [0.190, 0.190, 0.810], [0.125, 0.125, 0.125], [0.625, 0.125, 0.125], [0.440, 0.440, 0.060], [0.810, 0.190, 0.810], [0.060, 0.440, 0.060], [0.190, 0.810, 0.810], [0.810, 0.190, 0.190], [0.810, 0.810, 0.190], [0.440, 0.060, 0.440], [0.440, 0.060, 0.060], [0.500, 0.500, 0.500]]
}